! K5P (PBE, optimized geometry); values from VASP
! Crystal system: orthorhombic
! Total moment, Bohr magnetons per cell: 0.00
! Calculated formation energy, kJ/mol of formula units: -2.2
&SYSTEM
  ibrav = 0, nat = 6, ntyp = 2
/
ATOMIC_SPECIES
K 39.10 K.upf
P 30.97 P.upf
CELL_PARAMETERS angstrom
5.673 0.000 0.000
0.000 5.454 0.000
0.000 -2.727 8.605
ATOMIC_POSITIONS angstrom
K 2.836 2.727 0.000
K 2.836 0.000 2.391
K 2.836 2.727 6.214
K 0.000 2.727 2.232
K 0.000 0.000 6.373
P 0.000 0.000 0.000